# 1
Entry from Alexandria via LeMat-Bulk: a relaxed structure of Na2CeZr2Te6 (GGA-PBE).

Geometry as CIF:
```
data_Na2CeZr2Te6
_symmetry_space_group_name_H-M 'C 1 2/m 1'
_symmetry_Int_Tables_number 12
_cell_length_a 7.281
_cell_length_b 12.707
_cell_length_c 8.116
_cell_angle_alpha 90.00
_cell_angle_beta 107.00
_cell_angle_gamma 90.00
loop_
_symmetry_equiv_pos_as_xyz
'x,y,z'
'-x,-y,-z'
'-x,y,-z'
'x,-y,z'
'x+1/2,y+1/2,z'
'-x+1/2,-y+1/2,-z'
'-x+1/2,y+1/2,-z'
'x+1/2,-y+1/2,z'
loop_
_atom_site_label
_atom_site_type_symbol
_atom_site_fract_x
_atom_site_fract_y
_atom_site_fract_z
Na1 Na 0.000 0.159 0.000
Ce1 Ce 0.000 0.000 0.500
Zr1 Zr 0.000 0.333 0.500
Te1 Te 0.218 0.500 0.728
Te2 Te 0.250 0.175 0.729
```

Computed properties:
The magnetic moment is 1.79 μB/f.u. Its formation energy (no corrections) is -1011.4 meV/atom. The density of states at the Fermi level is 0.93 states/eV per atom. The calculation puts the calculated total energy at -55.644 eV per formula unit.


# 2
Entry from Alexandria via LeMat-Bulk: a relaxed structure of Na4Ce3ZrTe8 (GGA-PBE).

Geometry as CIF:
```
data_Na4Ce3ZrTe8
_symmetry_space_group_name_H-M 'R -3 m'
_symmetry_Int_Tables_number 166
_symmetry_space_group_name_Hall '-R 3 2"'
_cell_length_a 8.8966
_cell_length_b 8.8966
_cell_length_c 22.7903
_cell_angle_alpha 90.00
_cell_angle_beta 90.00
_cell_angle_gamma 120.00
loop_
_atom_site_label
_atom_site_type_symbol
_atom_site_fract_x
_atom_site_fract_y
_atom_site_fract_z
Na1 Na 0.0000 0.0000 0.0000
Na2 Na 0.0000 0.5000 0.0000
Ce1 Ce 0.0000 0.5000 0.5000
Zr1 Zr 0.0000 0.0000 0.5000
Te1 Te 0.0000 0.0000 0.2480
Te2 Te 0.0166 0.5083 0.2444
```

Computed properties:
The magnetic moment is 4.02 μB/f.u. Its formation energy (no corrections) is -1154.4 meV/atom. The density of states at the Fermi level is 1.46 states/eV per atom. The calculation puts the calculated total energy at -75.230 eV per formula unit.


# 3
Entry from Alexandria via LeMat-Bulk: a relaxed structure of NaCe2Th (GGA-PBE).

Geometry as CIF:
```
data_NaCe2Th
_symmetry_space_group_name_H-M 'R -3 m'
_symmetry_Int_Tables_number 166
_symmetry_space_group_name_Hall '-R 3 2"'
_cell_length_a 4.1392
_cell_length_b 4.1392
_cell_length_c 31.8445
_cell_angle_alpha 90.00
_cell_angle_beta 90.00
_cell_angle_gamma 120.00
loop_
_atom_site_label
_atom_site_type_symbol
_atom_site_fract_x
_atom_site_fract_y
_atom_site_fract_z
Na1 Na 0.0000 0.0000 0.0000
Ce1 Ce 0.0000 0.0000 0.1145
Th1 Th 0.0000 0.0000 0.5000
```

Computed properties:
The magnetic moment is 0.01 μB/f.u. The density of states at the Fermi level is 2.56 states/eV per atom. As for the formation energy: 0.829 eV per atom. The calculation puts the calculated total energy at -17.290 eV per formula unit.


# 4
Entry from Alexandria via LeMat-Bulk: a relaxed structure of NaCeTh (GGA-PBE).

Geometry as CIF:
```
data_NaCeTh
_symmetry_space_group_name_H-M 'C 1 2/m 1'
_symmetry_Int_Tables_number 12
_cell_length_a 6.113
_cell_length_b 3.405
_cell_length_c 18.192
_cell_angle_alpha 90.00
_cell_angle_beta 97.54
_cell_angle_gamma 90.00
loop_
_symmetry_equiv_pos_as_xyz
'x,y,z'
'-x,-y,-z'
'-x,y,-z'
'x,-y,z'
'x+1/2,y+1/2,z'
'-x+1/2,-y+1/2,-z'
'-x+1/2,y+1/2,-z'
'x+1/2,-y+1/2,z'
loop_
_atom_site_label
_atom_site_type_symbol
_atom_site_fract_x
_atom_site_fract_y
_atom_site_fract_z
Na1 Na 0.189 0.000 0.089
Ce1 Ce 0.135 0.500 0.571
Th1 Th 0.073 0.500 0.269
```

Computed properties:
The magnetic moment is 0.00 μB/f.u. The density of states at the Fermi level is 1.69 states/eV per atom. As for the formation energy: 0.146 eV per atom. The calculation puts the calculated total energy at -14.233 eV per formula unit.


# 5
Entry from Alexandria via LeMat-Bulk: a relaxed structure of NaCeTl4 (GGA-PBE).

Geometry as CIF:
```
data_NaCeTl4
_symmetry_space_group_name_H-M 'F -4 3 m'
_symmetry_Int_Tables_number 216
_symmetry_space_group_name_Hall 'F -4 2 3'
_cell_length_a 9.015
_cell_length_b 9.015
_cell_length_c 9.015
_cell_angle_alpha 90.00
_cell_angle_beta 90.00
_cell_angle_gamma 90.00
loop_
_atom_site_label
_atom_site_type_symbol
_atom_site_fract_x
_atom_site_fract_y
_atom_site_fract_z
Na1 Na 0.000 0.000 0.000
Ce1 Ce 0.250 0.250 0.750
Tl1 Tl 0.125 0.125 0.375
```

Computed properties:
The magnetic moment is 1.57 μB/f.u. The density of states at the Fermi level is 1.99 states/eV per atom. As for the formation energy: 0.013 eV per atom. The value obtained for the polymorph energy (0 for the lowest one) is 129 meV per atom. The calculation puts the calculated total energy at -16.639 eV per formula unit.


# 6
Entry from Alexandria via LeMat-Bulk: a relaxed structure of NaCe2Tl (GGA-PBE).

Geometry as CIF:
```
data_NaCe2Tl
_symmetry_space_group_name_H-M 'P 4/m m m'
_symmetry_Int_Tables_number 123
_symmetry_space_group_name_Hall '-P 4 2'
_cell_length_a 4.710
_cell_length_b 4.710
_cell_length_c 5.046
_cell_angle_alpha 90.00
_cell_angle_beta 90.00
_cell_angle_gamma 90.00
loop_
_atom_site_label
_atom_site_type_symbol
_atom_site_fract_x
_atom_site_fract_y
_atom_site_fract_z
Na1 Na 0.000 0.000 0.000
Ce1 Ce 0.000 0.500 0.500
Tl1 Tl 0.500 0.500 0.000
```

Computed properties:
The magnetic moment is 2.46 μB/f.u. The density of states at the Fermi level is 3.08 states/eV per atom. As for the formation energy: 0.077 eV per atom. The value obtained for the polymorph energy (0 for the lowest one) is 0 meV per atom. The calculation puts the calculated total energy at -15.244 eV per formula unit.


# 7
Entry from Alexandria via LeMat-Bulk: a relaxed structure of Na3CeTl4 (GGA-PBE).

Geometry as CIF:
```
data_Na3CeTl4
_symmetry_space_group_name_H-M 'F m m m'
_symmetry_Int_Tables_number 69
_symmetry_space_group_name_Hall '-F 2 2'
_cell_length_a 7.723
_cell_length_b 7.743
_cell_length_c 15.067
_cell_angle_alpha 90.00
_cell_angle_beta 90.00
_cell_angle_gamma 90.00
loop_
_atom_site_label
_atom_site_type_symbol
_atom_site_fract_x
_atom_site_fract_y
_atom_site_fract_z
Na1 Na 0.000 0.000 0.000
Na2 Na 0.000 0.000 0.250
Ce1 Ce 0.000 0.000 0.500
Tl1 Tl 0.250 0.250 0.125
```

Computed properties:
The magnetic moment is 0.95 μB/f.u. The density of states at the Fermi level is 1.26 states/eV per atom. As for the formation energy: -0.129 eV per atom. The calculation puts the calculated total energy at -20.385 eV per formula unit.


# 8
Entry from Alexandria via LeMat-Bulk: a relaxed structure of NaCeTl (GGA-PBE).

Geometry as CIF:
```
data_NaCeTl
_symmetry_space_group_name_H-M 'F m m m'
_symmetry_Int_Tables_number 69
_symmetry_space_group_name_Hall '-F 2 2'
_cell_length_a 6.063
_cell_length_b 8.559
_cell_length_c 14.254
_cell_angle_alpha 90.00
_cell_angle_beta 90.00
_cell_angle_gamma 90.00
loop_
_atom_site_label
_atom_site_type_symbol
_atom_site_fract_x
_atom_site_fract_y
_atom_site_fract_z
Na1 Na 0.000 0.169 0.000
Ce1 Ce 0.250 0.250 0.250
Tl1 Tl 0.000 0.000 0.392
```

Computed properties:
The magnetic moment is 1.55 μB/f.u. The density of states at the Fermi level is 2.60 states/eV per atom. As for the formation energy: 0.085 eV per atom. The value obtained for the polymorph energy (0 for the lowest one) is 76 meV per atom. The calculation puts the calculated total energy at -9.363 eV per formula unit.